DFT (GGA+U) results for NiH14C10N8O2 after structural relaxation.

Geometry as CIF:
```
data_NiH14C10N8O2
_cell_length_a 7.924
_cell_length_b 7.924
_cell_length_c 8.144
_cell_angle_alpha 71.03
_cell_angle_beta 71.03
_cell_angle_gamma 56.48
_symmetry_space_group_name_H-M 'P 1'
_symmetry_Int_Tables_number 1
_symmetry_space_group_name_Hall 'P 1'
loop_
_atom_site_label
_atom_site_fract_x
_atom_site_fract_y
_atom_site_fract_z
_atom_site_occupancy
N1 0.237 0.237 0.990 1
N2 0.378 0.378 0.360 1
N3 0.893 0.297 0.534 1
N4 0.622 0.622 0.640 1
N5 0.763 0.763 0.010 1
N6 0.107 0.703 0.466 1
N7 0.703 0.107 0.466 1
N8 0.297 0.893 0.534 1
C1 0.650 0.650 0.072 1
C2 0.546 0.241 0.421 1
C3 0.350 0.350 0.928 1
C4 0.454 0.759 0.579 1
C5 0.759 0.454 0.579 1
C6 0.191 0.191 0.857 1
C7 0.820 0.820 0.837 1
C8 0.241 0.546 0.421 1
C9 0.809 0.809 0.143 1
C10 0.180 0.180 0.163 1
H1 0.738 0.500 0.152 1
H2 0.500 0.738 0.152 1
H3 0.107 0.107 0.922 1
H4 0.626 0.626 0.958 1
H5 0.262 0.500 0.848 1
H6 0.666 0.903 0.227 1
H7 0.374 0.374 0.042 1
H8 0.903 0.666 0.227 1
H9 0.500 0.262 0.848 1
H10 0.893 0.893 0.078 1
H11 0.776 0.776 0.749 1
H12 0.224 0.224 0.251 1
H13 0.097 0.334 0.773 1
H14 0.334 0.097 0.773 1
O1 0.917 0.917 0.775 1
O2 0.083 0.083 0.225 1
Ni1 0.000 0.000 0.500 1
```

Calculated values
Size of the total moment, μB/f.u.: 1.9
Space-group type: C2/m, No. 12
DFT total energy, eV per atom: -6.369
Crystal system: monoclinic